ErPuScSn PBE optimized geometry; formation energy = -0.577 eV per formula unit; DOS at the Fermi energy = 10.065 states/eV/f.u.
1.0
0.000 3.732 3.732
3.732 0.000 3.732
3.732 3.732 0.000
Er Pu Sc Sn
1 1 1 1
Cartesian
0.000 0.000 0.000 Er
3.732 3.732 3.732 Pu
5.598 5.598 5.598 Sc
1.866 1.866 1.866 Sn


Ba6SeS3Cl2 PBE optimized geometry; DOS at the Fermi energy = 2.994 states/eV/f.u.; formation energy (no corrections) = -2337 kJ/mol of formula units
1.0
3.953 -6.835 0.000
3.953 6.835 0.000
-2.631 0.000 7.518
Ba Se S Cl
6 1 3 2
Cartesian
-0.016 2.244 5.761 Ba
1.279 0.000 1.761 Ba
-0.016 -2.244 5.761 Ba
5.292 2.244 1.757 Ba
3.997 0.000 5.758 Ba
5.292 -2.244 1.757 Ba
-1.315 0.000 3.759 Se
3.953 4.552 0.000 S
3.953 0.000 0.000 S
3.953 -4.552 0.000 S
2.638 2.276 3.759 Cl
2.638 -2.276 3.759 Cl